The following is a DFT calculation (PBEsol) of an optimized crystal structure of CrCd2P.

Unit cell a=5.582 b=5.582 c=5.582 alpha=146.23 beta=132.15 gamma=59.84
Element x y z (fractional)
Cr (0.000, 0.000, 0.000)
Cd (0.453, 0.453, 0.000)
Cd (0.745, 0.245, 0.500)
P (0.163, 0.663, 0.500)

Output
Symmetry ... Imm2 (44)
ΔE_f ... 0.241 eV/atom
Size of the total moment ... 2.44 μB/f.u.